11
Lattice="-3.3351 3.6406 1.7937 -2.0564 -0.7342 -5.5273 -3.4910 -4.8090 0.0758" Properties=species:S:1:pos:R:3 comment="Tl2CdF8 | Alexandria via LeMat-Bulk | GGA-PBE | relaxed" total_magnetization_mub_per_cell=0.0 e_form_raw_ev_per_atom=-1.899 de_polymorph_kcal_per_mol_atoms=0.00 pbc="T T T"
Cd 0.0000 0.0000 0.0000
F -4.1385 -1.1817 -4.6686
F -5.1340 -3.8742 -4.1319
F -4.7439 -0.7209 1.0107
F -3.7484 1.9716 0.4741
F -5.0215 -3.6899 -1.2196
F -3.2494 -1.5300 -1.9447
F -5.6330 -0.3726 -1.7132
F -3.8608 1.7874 -2.4382
Tl -3.6519 0.2524 -0.7514
Tl -5.2305 -2.1550 -2.9064

8
Lattice="-5.2311 0.4093 2.3795 -2.4143 -0.9546 -5.1433 -3.7837 -7.9406 0.0229" Properties=species:S:1:pos:R:3 comment="Tl2CdF | Alexandria via LeMat-Bulk | GGA-PBE | relaxed" total_magnetization_mub_per_cell=0.0 e_form_raw_ev_per_atom=-0.620 de_polymorph_kcal_per_mol_atoms=2.73 pbc="T T T"
Tl -9.3164 -6.3491 -1.9514
Tl -4.0598 -1.8844 0.6420
Tl -3.5661 -2.4948 -2.7034
Tl -5.9159 -6.2434 -1.4689
F -3.8227 -0.2726 -1.3819
F -5.0103 -4.5839 -3.2511
Cd 0.0000 0.0000 0.0000
Cd -6.4187 -3.9019 0.5103

11
Lattice="-4.0035 -1.3935 1.7911 -1.6242 -3.4495 -5.2042 1.9534 -6.1056 0.7259" Properties=species:S:1:pos:R:3 comment="Tl2CdF8 | Alexandria via LeMat-Bulk | GGA-PBE | relaxed" total_magnetization_mub_per_cell=0.0 e_form_raw_ev_per_atom=-1.861 de_polymorph_kcal_per_mol_atoms=0.88 pbc="T T T"
Tl -0.6474 -6.4184 -2.4843
Tl -3.0269 -4.5302 -0.2030
F -4.1241 -3.9808 -1.9152
F -2.1034 -5.4810 1.4343
F 0.4498 -6.9679 -0.7720
F -1.0086 -8.4129 -3.1597
F -0.9474 -4.3811 -1.3908
F -2.7269 -6.5675 -1.2965
F -1.5709 -5.4676 -4.1215
F -2.6657 -2.5358 0.4724
Cd 0.0000 0.0000 0.0000

8
Lattice="-3.5935 -6.8273 2.4825 4.2009 0.3066 6.9243 -1.7708 -1.7354 5.8944" Properties=species:S:1:pos:R:3 comment="TlCd2F | Alexandria via LeMat-Bulk | GGA-PBE | relaxed" total_magnetization_mub_per_cell=0.0 e_form_raw_ev_per_atom=-0.674 de_polymorph_kcal_per_mol_atoms=0.00 pbc="T T T"
Cd -1.0371 -7.0247 12.2554
Cd 1.5280 -1.4864 6.2537
Cd -1.9578 -4.2718 3.7486
Cd -0.8598 -3.7292 8.3447
F 1.3669 -2.3445 8.7611
F 0.3037 -3.2603 4.7034
Tl -2.5303 -5.9115 6.5402
Tl 0.0000 0.0000 0.0000

4
Lattice="-1.3811 -3.0031 1.1736 1.9003 -2.9476 -0.0645 2.8409 -0.4199 7.5108" Properties=species:S:1:pos:R:3 comment="TlCdF2 | Alexandria via LeMat-Bulk | GGA-PBE | relaxed" total_magnetization_mub_per_cell=0.0 e_form_raw_ev_per_atom=-1.557 de_polymorph_kcal_per_mol_atoms=2.16 pbc="T T T"
F 0.5649 -1.7539 1.4187
F 2.4401 -0.6548 6.4380
Tl 1.6926 -3.1779 4.3436
Cd 3.1833 -4.3892 8.2404

13
Lattice="-3.0031 -4.0330 -2.9807 4.9229 -1.7081 -2.6487 0.9565 -3.8711 4.2741" Properties=species:S:1:pos:R:3 comment="TlCd4F8 | Alexandria via LeMat-Bulk | GGA-PBE | relaxed" total_magnetization_mub_per_cell=0.0 e_form_raw_ev_per_atom=-1.757 de_polymorph_kcal_per_mol_atoms=4.79 pbc="T T T"
Cd 0.9599 -2.8705 -2.8147
Cd 0.0000 0.0000 0.0000
Cd 2.9397 -2.7896 0.8127
Cd -1.0233 -3.9521 0.6467
F 3.2400 -3.2043 -1.6968
F 3.7345 -5.2058 0.5131
F 1.6872 -5.2895 -3.2380
F -0.8582 -4.4064 -1.8685
F 2.1818 -7.2911 -1.0281
F 0.6946 -2.3211 -0.3273
F 1.1891 -4.3227 1.8826
F -0.3636 -6.4079 0.3415
Tl 1.4382 -4.8061 -0.6777

4
Lattice="2.1454 0.0000 7.8922 -1.0727 1.8580 7.8922 -1.0727 -1.8580 7.8922" Properties=species:S:1:pos:R:3 comment="TlCdF2 | Alexandria via LeMat-Bulk | GGA-PBE | relaxed" total_magnetization_mub_per_cell=0.0 e_form_raw_ev_per_atom=-1.414 de_polymorph_kcal_per_mol_atoms=5.44 pbc="T T T"
F 0.0000 0.0000 21.4813
F 0.0000 0.0000 2.1951
Tl 0.0000 0.0000 11.8382
Cd 0.0000 0.0000 0.0000

10
Lattice="4.7027 0.0000 0.0000 2.3513 6.8065 0.0000 2.3513 0.0000 6.8065" Properties=species:S:1:pos:R:3 comment="Tl4CdF5 | Alexandria via LeMat-Bulk | GGA-PBE | relaxed" total_magnetization_mub_per_cell=0.0 e_form_raw_ev_per_atom=-1.640 pbc="T T T"
Cd 0.0046 0.0000 0.0000
Tl 4.7074 4.2802 1.4855
Tl 7.0588 5.3209 4.2802
Tl 4.7074 2.5263 5.3210
Tl 2.3561 1.4855 2.5263
F 4.7078 0.1702 2.3009
F 7.0591 2.3009 6.6363
F 4.7078 6.6363 4.5056
F 2.3565 4.5056 0.1702
F 2.3554 0.0000 0.0000

5
Lattice="5.5090 0.0000 0.0000 0.0000 5.5090 0.0000 0.0000 0.0000 5.5090" Properties=species:S:1:pos:R:3 comment="TlCd3F | Alexandria via LeMat-Bulk | GGA-PBE | relaxed" total_magnetization_mub_per_cell=0.0 e_form_raw_ev_per_atom=-0.059 de_polymorph_kcal_per_mol_atoms=6.82 pbc="T T T"
Tl 0.0000 0.0000 0.0000
F 2.7545 2.7545 2.7545
Cd 0.0000 2.7545 0.0000
Cd 2.7545 0.0000 0.0000
Cd 0.0000 0.0000 2.7545

4
Lattice="3.4874 -0.3777 3.6263 -1.3825 0.1110 4.8509 0.2840 -4.1870 2.8005" Properties=species:S:1:pos:R:3 comment="TlCd2F | Alexandria via LeMat-Bulk | GGA-PBE | relaxed" total_magnetization_mub_per_cell=0.0 e_form_raw_ev_per_atom=-0.486 de_polymorph_kcal_per_mol_atoms=4.34 pbc="T T T"
Cd 1.7917 -3.3403 8.4582
Cd 0.5972 -1.1134 2.8194
F 0.0000 0.0000 0.0000
Tl 1.1945 -2.2269 5.6388

15
Lattice="6.9924 -0.0819 2.0259 1.4999 6.8301 2.0259 -0.1031 -0.0819 7.2792" Properties=species:S:1:pos:R:3 comment="Tl6CdF8 | Alexandria via LeMat-Bulk | GGA-PBE | relaxed" total_magnetization_mub_per_cell=0.0 e_form_raw_ev_per_atom=-1.833 pbc="T T T"
F 6.7911 0.6529 7.1703
F 6.0660 4.8202 8.1932
F 1.7377 4.6024 8.5881
F 6.6515 2.0638 2.7429
F 1.5981 6.0133 4.1607
F 6.2246 6.4680 4.1686
F 2.3231 1.8460 3.1378
F 2.1645 0.1982 7.1624
Tl 4.5756 4.8943 2.8363
Tl 7.3696 3.3147 4.9543
Tl 3.8136 1.7719 8.4947
Tl 1.0195 3.3515 6.3767
Tl 5.0790 0.2360 5.2041
Tl 3.3102 6.4302 6.1269
Cd 0.0000 0.0000 0.0000

13
Lattice="-2.9637 2.9446 -4.3527 1.2069 -5.3762 -4.4587 -4.7164 -1.0818 5.6617" Properties=species:S:1:pos:R:3 comment="Tl2Cd3F8 | Alexandria via LeMat-Bulk | GGA-PBE | relaxed" total_magnetization_mub_per_cell=0.0 e_form_raw_ev_per_atom=-2.075 pbc="T T T"
Cd 0.8967 -3.9944 -3.3127
Cd 0.3102 -1.3818 -1.1460
Cd -1.4819 1.4723 -2.1764
F -3.4153 -2.8673 2.5329
F -1.0158 -3.7874 -4.5022
F -1.6928 -0.7719 -2.0014
F -3.0425 -5.5012 0.1758
F -3.0579 -0.6460 -5.6827
F -5.4574 0.2740 1.3524
F -4.7805 -2.7415 -1.1484
F -3.4308 1.9878 -3.3255
Tl -3.1199 -2.3494 -3.6456
Tl -3.3534 -1.1640 0.4958

8
Lattice="-0.2000 -2.8745 1.8495 2.6250 -3.1237 -4.5710 4.2379 2.1821 3.8498" Properties=species:S:1:pos:R:3 comment="TlCdF6 | Alexandria via LeMat-Bulk | GGA-PBE | relaxed" total_magnetization_mub_per_cell=1.1 e_form_raw_ev_per_atom=-1.574 pbc="T T T"
F 4.8580 -0.1746 0.2540
F 2.2921 0.1774 0.5236
F 2.7742 -3.7413 -2.3453
F 5.4232 -2.7132 -0.4609
F 0.9373 -2.0977 0.0105
F 3.1907 -1.2628 -1.6176
Cd 3.3189 -1.9494 0.4986
Tl 2.6445 -3.0597 -4.4695

4
Lattice="0.0000 3.6508 3.6508 3.6508 0.0000 3.6508 3.6508 3.6508 0.0000" Properties=species:S:1:pos:R:3 comment="Tl2CdF | Alexandria via LeMat-Bulk | GGA-PBE | relaxed" total_magnetization_mub_per_cell=0.0 e_form_raw_ev_per_atom=-0.596 de_polymorph_kcal_per_mol_atoms=3.29 pbc="T T T"
Tl 1.8254 1.8254 1.8254
Tl 5.4761 5.4761 5.4761
Cd 3.6508 3.6508 3.6508
F 0.0000 0.0000 0.0000

20
Lattice="6.4657 0.0000 0.0000 0.0000 6.4597 0.0000 0.0000 0.0000 9.1497" Properties=species:S:1:pos:R:3 comment="TmTl2CdF6 | Alexandria via LeMat-Bulk | GGA-PBE | relaxed" total_magnetization_mub_per_cell=0.0 e_form_raw_ev_per_atom=-2.593 pbc="T T T"
F 3.2329 1.5877 2.4258
F 3.2329 1.5877 6.7239
F 4.9455 6.3868 0.0000
F 0.0000 4.8720 7.0006
F 1.5186 3.3497 0.0000
F 0.0000 4.8720 2.1491
F 4.7531 0.0730 4.5748
F 1.7142 3.1100 4.5748
F 1.7127 0.0730 4.5748
F 4.9471 3.3497 0.0000
F 4.7515 3.1100 4.5748
F 1.5202 6.3868 0.0000
Cd 0.0000 4.8260 4.5748
Cd 3.2329 1.6337 0.0000
Tl 0.0000 1.6230 6.8600
Tl 3.2329 4.8368 6.8645
Tl 3.2329 4.8368 2.2852
Tl 0.0000 1.6230 2.2897
Tm 3.2329 1.5911 4.5748
Tm 0.0000 4.8686 0.0000

18
Lattice="-3.0239 -6.5237 -3.9319 2.5158 -7.6777 1.3730 -4.6448 -5.7063 3.6091" Properties=species:S:1:pos:R:3 comment="TmTl2Cd3F12 | Alexandria via LeMat-Bulk | GGA-PBE | relaxed" total_magnetization_mub_per_cell=0.0 e_form_raw_ev_per_atom=-2.377 pbc="T T T"
Tl -2.9972 -11.5793 0.6109
Tl -2.1557 -8.3283 0.4394
F -4.3001 -10.1366 2.2853
F -1.9407 -15.0975 -1.2577
F 1.2344 -6.0343 0.9194
F -2.2056 -5.3177 -2.3748
F -0.8527 -9.7710 -1.2351
F -0.5108 -11.1798 1.1020
F -2.9473 -14.5900 3.4250
F -6.3873 -13.8733 0.1308
F -3.2122 -4.8101 2.3080
F -1.7105 -9.3385 2.7555
F -4.6421 -8.7278 -0.0518
F -3.4423 -10.5691 -1.7052
Cd -1.5119 -3.2618 -1.9659
Cd 1.2579 -3.8388 0.6865
Cd -2.3224 -2.8531 1.8045
Tm 0.0000 0.0000 0.0000